DFT (PBE) results for crystalline BaAc3Th2N6 at its relaxed geometry.

Space-group type: C2/m (12)
Total DFT energy (no corrections): -7.7604 eV/atom
M_tot: 0.00 Bohr magnetons per cell

POSCAR file:
```
BaAc3Th2N6
1.0
8.533 -1.910 0.000
8.533 1.910 0.000
-1.633 0.000 7.459
Ba Ac Th N
1 3 2 6
Cartesian
0.000 0.000 0.000
-0.817 0.000 3.729
5.365 0.000 1.232
10.067 0.000 6.226
4.569 0.000 4.942
10.863 0.000 2.516
2.093 0.000 4.276
2.907 0.000 0.832
6.868 0.000 5.320
8.564 0.000 2.138
12.525 0.000 6.627
13.339 0.000 3.183
```